# 1
Entry from Alexandria via LeMat-Bulk: Mn2GaReSe after structural relaxation (PBE-GGA).

Output
**Total magnetization**: 1.3 μB/cell
**Distance to the lowest polymorph of the same formula**: 55 meV/atom

Unit cell a=2.7187 b=3.7530 c=8.5708 alpha=77.45 beta=81.67 gamma=90.00
With the nearest neighbours (Å) after each atom.
Space group P1 (No. 1)
One atom of each set of equivalent atoms:
Mn: 0.0000 0.0000 0.0000 x1  1 Re 2.49, 6 Mn 2.61-2.72, 4 Se 2.62
Mn: 0.4336 0.4280 0.1451 x1  1 Se 2.42, 4 Mn 2.61, 1 Ga 2.63, 4 Re 2.65
Ga: 0.2876 0.2705 0.4625 x1  1 Mn 2.63, 4 Re 2.67-2.68, 2 Ga 2.72
Re: 0.8618 0.8506 0.3009 x1  5 Mn 2.49-2.65, 4 Ga 2.67-2.68, 2 Re 2.72
Se: 0.5679 0.5728 0.8530 x1  5 Mn 2.42-2.62

---

# 2
Entry from Alexandria via LeMat-Bulk: Mn2GaReSe after structural relaxation (PBE-GGA).

Output
**Total magnetization**: 1.0 μB/cell
**Distance to the lowest polymorph of the same formula**: 119 meV/atom

Unit cell a=4.2652 b=3.1714 c=6.1001 alpha=90.00 beta=101.51 gamma=90.00
With the nearest neighbours (Å) after each atom.
Space group Pm (No. 6)
One atom of each set of equivalent atoms:
Mn: 0.0000 0.0000 0.0000 x1  2 Se 2.43, 2 Re 2.47, 2 Ga 2.53-2.58
Mn: 0.3403 0.5000 0.4210 x1  2 Se 2.40-2.41, 2 Ga 2.59, 2 Re 2.62-2.67
Ga: 0.4395 0.0000 0.7639 x1  4 Mn 2.53-2.59, 4 Re 2.69-2.72
Re: 0.9212 0.5000 0.6829 x1  4 Mn 2.47-2.67, 1 Se 2.67, 4 Ga 2.69-2.72
Se: 0.7866 0.5000 0.2355 x1  4 Mn 2.40-2.43, 1 Re 2.67

---

# 3
Entry from Alexandria via LeMat-Bulk: Mn2GaReSe after structural relaxation (PBE-GGA).

Output
**Total magnetization**: 3.2 μB/cell
**Distance to the lowest polymorph of the same formula**: 146 meV/atom

Unit cell a=7.7711 b=4.2283 c=4.9081 alpha=90.00 beta=95.34 gamma=90.00
With the nearest neighbours (Å) after each atom.
Space group Cm (No. 8)
One atom of each set of equivalent atoms:
Mn: 0.0000 0.0000 0.0000 x2  3 Se 2.47-2.62, 2 Re 2.61-2.76
Mn: 0.1958 0.0000 0.5359 x2  1 Se 2.41, 3 Ga 2.50-2.70, 3 Re 2.51-2.61
Ga: 0.0429 0.5000 0.6420 x2  5 Mn 2.50-2.79, 3 Re 2.65-2.69
Re: 0.3593 0.5000 0.4634 x2  5 Mn 2.51-2.76, 3 Ga 2.65-2.69, 2 Se 2.76
Se: 0.3180 0.0000 0.1013 x2  4 Mn 2.41-2.62

---

# 4
Entry from Alexandria via LeMat-Bulk: Mn2GaReSe after structural relaxation (PBE-GGA).

Output
**Total magnetization**: 0.9 μB/cell
**Distance to the lowest polymorph of the same formula**: 287 meV/atom

Unit cell a=2.7276 b=4.4322 c=6.6329 alpha=81.97 beta=78.14 gamma=89.93
With the nearest neighbours (Å) after each atom.
Space group P1 (No. 1)
One atom of each set of equivalent atoms:
Mn: 0.0000 0.0000 0.0000 x1  1 Se 2.33, 2 Ga 2.54-2.55, 2 Re 2.60-2.61
Mn: 0.3445 0.2027 0.3052 x1  1 Re 2.48, 4 Se 2.60-2.61, 4 Mn 2.66-2.73, 2 Ga 2.70
Ga: 0.6648 0.1236 0.6679 x1  4 Mn 2.54-2.70, 1 Re 2.72, 2 Ga 2.73
Re: 0.5250 0.5133 0.9556 x1  5 Mn 2.48-2.64, 1 Ga 2.72, 2 Re 2.73
Se: 0.8315 0.6993 0.3248 x1  3 Mn 2.33-2.60

---

# 5
Entry from Alexandria via LeMat-Bulk: Mn2GaReSe after structural relaxation (PBE-GGA).

Output
**Total magnetization**: 4.2 μB/cell
**Distance to the lowest polymorph of the same formula**: 0 meV/atom

Unit cell a=3.1216 b=3.1216 c=8.0435 alpha=90.00 beta=90.00 gamma=90.00
With the nearest neighbours (Å) after each atom.
Space group P4mm (No. 99)
One atom of each set of equivalent atoms:
Mn: 0.0000 0.0000 0.0000 x1  4 Se 2.49, 4 Mn 2.62, 1 Re 2.68
Mn: 0.5000 0.5000 0.1758 x1  4 Re 2.55, 1 Se 2.56, 4 Mn 2.62, 1 Ga 2.80
Ga: 0.5000 0.5000 0.5237 x1  4 Re 2.69, 1 Se 2.69, 1 Mn 2.80
Re: 0.0000 0.0000 0.3337 x1  5 Mn 2.55-2.68, 4 Ga 2.69
Se: 0.5000 0.5000 0.8576 x1  5 Mn 2.49-2.56, 1 Ga 2.69

---

# 6
Entry from Alexandria via LeMat-Bulk: Mn2GaReSe after structural relaxation (PBE-GGA).

Output
**Total magnetization**: 11.9 μB/cell
**Distance to the lowest polymorph of the same formula**: 215 meV/atom

Unit cell a=13.2899 b=2.8415 c=4.4942 alpha=90.00 beta=97.16 gamma=90.00
With the nearest neighbours (Å) after each atom.
Space group Cm (No. 8)
One atom of each set of equivalent atoms:
Mn: 0.0000 0.0000 0.0000 x2  4 Re 2.63-2.72, 3 Mn 2.84-2.88, 2 Se 2.85, 1 Ga 2.91
Mn: 0.1882 0.0000 0.3947 x2  4 Se 2.64-2.69, 2 Ga 2.64, 2 Re 2.71, 3 Mn 2.84-2.88
Ga: 0.3573 0.5000 0.4531 x2  2 Re 2.60, 3 Mn 2.64-2.91, 2 Ga 2.84
Re: 0.0226 0.5000 0.4961 x2  1 Se 2.52, 2 Ga 2.60, 6 Mn 2.63-2.72
Se: 0.1768 0.5000 0.8838 x2  1 Re 2.52, 4 Mn 2.64-2.69